{"formula": "AgBPdW2", "functional": "PBE", "state": "relaxed", "total_magnetization_mub_per_atom": 0.00, "dft_energy_ev_per_cell": -38.2, "formation_energy_ev_per_fu": 2.46, "cell": [[4.218, 0.000, 0.000], [0.000, 4.211, 0.000], [0.000, 0.000, 4.218]], "species": ["Ag", "W", "W", "Pd", "B"], "fractional_positions": [[0.500, 0.500, 0.500], [0.500, 0.000, 0.000], [0.000, 0.000, 0.500], [0.000, 0.500, 0.000], [0.000, 0.000, 0.000]]}

{"formula": "Pm4Ag2B", "functional": "PBE", "state": "relaxed", "total_magnetization_mub_per_atom": 0.00, "dft_energy_ev_per_cell": -31.3, "formation_energy_ev_per_fu": 0.06, "cell": [[-1.082, -4.372, -2.461], [2.284, -2.671, 3.740], [-7.159, 3.071, 3.044]], "species": ["B", "Pm", "Pm", "Pm", "Pm", "Ag", "Ag"], "fractional_positions": [[0.000, 0.000, 0.000], [0.500, 0.000, 0.000], [0.176, 0.176, 0.352], [0.000, 0.500, 0.000], [0.824, 0.824, 0.648], [0.372, 0.372, 0.745], [0.628, 0.628, 0.255]]}

{"formula": "Pm2AgB3Pt12", "functional": "PBE", "state": "relaxed", "total_magnetization_mub_per_atom": 0.00, "dft_energy_ev_per_cell": -110.4, "formation_energy_ev_per_fu": -5.49, "cell": [[7.360, -0.364, -0.258], [3.318, 6.579, -0.258], [3.318, 1.931, 6.295]], "species": ["B", "B", "B", "Pt", "Pt", "Pt", "Pt", "Pt", "Pt", "Pt", "Pt", "Pt", "Pt", "Pt", "Pt", "Pm", "Pm", "Ag"], "fractional_positions": [[0.500, 0.000, 0.000], [0.000, 0.000, 0.500], [0.000, 0.500, 0.000], [0.605, 0.131, 0.131], [0.869, 0.869, 0.395], [0.869, 0.395, 0.869], [0.323, 0.323, 0.910], [0.131, 0.605, 0.131], [0.677, 0.090, 0.677], [0.677, 0.677, 0.090], [0.323, 0.910, 0.323], [0.090, 0.677, 0.677], [0.910, 0.323, 0.323], [0.131, 0.131, 0.605], [0.395, 0.869, 0.869], [0.603, 0.603, 0.603], [0.397, 0.397, 0.397], [0.000, 0.000, 0.000]]}

{"formula": "Pm2Ag2BPt4", "functional": "PBE", "state": "relaxed", "total_magnetization_mub_per_atom": 0.00, "dft_energy_ev_per_cell": -51.8, "formation_energy_ev_per_fu": -5.76, "cell": [[-5.225, 2.723, -1.468], [-0.318, -3.729, 4.782], [4.358, 3.736, 1.979]], "species": ["Ag", "Ag", "Pm", "Pm", "B", "Pt", "Pt", "Pt", "Pt"], "fractional_positions": [[0.000, 0.687, 0.687], [0.000, 0.313, 0.313], [0.500, 0.750, 0.250], [0.500, 0.250, 0.750], [0.000, 0.000, 0.000], [0.456, 0.228, 0.228], [0.000, 0.772, 0.228], [0.000, 0.228, 0.772], [0.544, 0.772, 0.772]]}

{"formula": "Pm3Ag2BRh3", "functional": "PBE", "state": "relaxed", "total_magnetization_mub_per_atom": 0.00, "dft_energy_ev_per_cell": -52.5, "formation_energy_ev_per_fu": -3.81, "cell": [[-3.389, -0.479, -0.778], [-0.856, -4.207, 6.317], [-1.125, 7.549, 0.258]], "species": ["Rh", "Rh", "Rh", "Pm", "Pm", "Pm", "Ag", "Ag", "B"], "fractional_positions": [[0.500, 0.791, 0.000], [0.500, 0.000, 0.791], [0.500, 0.209, 0.209], [0.000, 0.000, 0.359], [0.000, 0.359, 0.000], [0.000, 0.641, 0.641], [0.500, 0.667, 0.333], [0.500, 0.333, 0.667], [0.000, 0.000, 0.000]]}

{"formula": "Pr2AgB3Pt12", "functional": "PBE", "state": "relaxed", "total_magnetization_mub_per_atom": 0.00, "dft_energy_ev_per_cell": -110.3, "formation_energy_ev_per_fu": -5.40, "cell": [[7.422, -0.328, -0.232], [3.380, 6.616, -0.232], [3.380, 1.968, 6.320]], "species": ["Pt", "Pt", "Pt", "Pt", "Pt", "Pt", "Pt", "Pt", "Pt", "Pt", "Pt", "Pt", "B", "B", "B", "Pr", "Pr", "Ag"], "fractional_positions": [[0.394, 0.871, 0.871], [0.911, 0.322, 0.322], [0.129, 0.129, 0.606], [0.871, 0.394, 0.871], [0.871, 0.871, 0.394], [0.606, 0.129, 0.129], [0.678, 0.089, 0.678], [0.322, 0.911, 0.322], [0.322, 0.322, 0.911], [0.089, 0.678, 0.678], [0.678, 0.678, 0.089], [0.129, 0.606, 0.129], [0.500, 0.000, 0.000], [0.000, 0.000, 0.500], [0.000, 0.500, 0.000], [0.396, 0.396, 0.396], [0.604, 0.604, 0.604], [0.000, 0.000, 0.000]]}

What is the formula in the first record?
AgBPdW2